Density functional theory data (PBE) for a relaxed structure of In2SiPt.

The structure in CIF format:
```
data_In2SiPt
_space_group_name_H-M_alt 'C m m m'
_space_group_IT_number 65
_space_group_name_Hall '-C 2 2'
_cell_length_a 6.093
_cell_length_b 8.132
_cell_length_c 3.092
_cell_angle_alpha 90.00
_cell_angle_beta 90.00
_cell_angle_gamma 90.00
loop_
_atom_site_label
_atom_site_fract_x
_atom_site_fract_y
_atom_site_fract_z
_atom_site_occupancy
In1 0.250 0.250 0.000 1
Si1 0.000 0.000 0.500 1
Pt1 0.000 0.500 0.500 1
```

M_tot: 0.000 μB per atom
total DFT energy (no corrections): -4.127 eV per atom
energy relative to the elements, uncorrected: 0.11 eV/atom